Record 1
FeTe2W | the Alexandria database | GGA-PBE | optimized geometry; density = 9.37 g/cm3; D(E_F) = 1.03 states/eV per atom; E above lowest polymorph = 329 meV per atom; raw total energy = -6.63 eV per atom
1.0
3.3125 0.0000 0.0000
0.0000 3.3125 0.0000
0.0000 0.0000 7.9890
Fe Te W
1 2 1
Direct
0.5000 0.5000 0.7210 Fe
0.0000 0.0000 0.8944 Te
0.5000 0.5000 0.3416 Te
0.0000 0.0000 0.5430 W

Record 2
HgTe2Rh | the Alexandria database | GGA-PBE | optimized geometry; density = 10.12 g/cm3; D(E_F) = 0.57 states/eV per atom; E above lowest polymorph = 678 meV per atom; raw total energy = -3.08 eV per atom
1.0
4.3902 0.0000 0.0000
0.0000 4.3902 0.0000
0.0000 0.0000 4.7568
Hg Te Rh
1 2 1
Direct
0.5000 0.5000 0.5000 Hg
0.0000 0.5000 0.0000 Te
0.5000 0.0000 0.0000 Te
0.0000 0.0000 0.5000 Rh

Number 1: E_form (uncorrected) 0.293 eV per atom. Number 2: E_form (uncorrected) 0.406 eV per atom.